# 1
{"formula": "Rb3U3AsSe8", "functional": "PBE-GGA", "state": "optimized geometry", "cell": [[4.164, 2.404, 8.196], [-4.164, 2.404, 8.196], [0.000, -4.808, 8.196]], "species": ["Rb", "Rb", "Rb", "U", "U", "U", "As", "Se", "Se", "Se", "Se", "Se", "Se", "Se", "Se"], "fractional_positions": [[0.000, 0.500, 0.500], [0.500, 0.000, 0.500], [0.500, 0.500, 0.000], [0.000, 0.000, 0.500], [0.000, 0.500, 0.000], [0.500, 0.000, 0.000], [0.500, 0.500, 0.500], [0.233, 0.233, 0.233], [0.239, 0.725, 0.725], [0.275, 0.275, 0.761], [0.275, 0.761, 0.275], [0.725, 0.239, 0.725], [0.725, 0.725, 0.239], [0.761, 0.275, 0.275], [0.767, 0.767, 0.767]], "e_form_raw_mev_per_atom": -1031, "space_group": "R-3m"}



# 2
{"formula": "Li3Np3TcS8", "functional": "PBE-GGA", "state": "optimized geometry", "cell": [[3.724, 2.150, 6.319], [-3.724, 2.150, 6.319], [0.000, -4.300, 6.319]], "species": ["Li", "Li", "Li", "Np", "Np", "Np", "Tc", "S", "S", "S", "S", "S", "S", "S", "S"], "fractional_positions": [[0.000, 0.500, 0.500], [0.500, 0.000, 0.500], [0.500, 0.500, 0.000], [0.000, 0.000, 0.500], [0.000, 0.500, 0.000], [0.500, 0.000, 0.000], [0.500, 0.500, 0.500], [0.254, 0.254, 0.254], [0.266, 0.266, 0.729], [0.266, 0.729, 0.266], [0.271, 0.734, 0.734], [0.729, 0.266, 0.266], [0.734, 0.271, 0.734], [0.734, 0.734, 0.271], [0.746, 0.746, 0.746]], "e_form_raw_mev_per_atom": -1188, "space_group": "R-3m"}



# 3
{"formula": "SmTl2Pd", "functional": "PBE-GGA", "state": "optimized geometry", "cell": [[-2.436, 2.436, 8.273], [2.436, -2.436, 8.273], [2.436, 2.436, -8.273]], "species": ["Sm", "Sm", "Tl", "Tl", "Tl", "Tl", "Pd", "Pd"], "fractional_positions": [[0.141, 0.141, 0.000], [0.859, 0.859, 0.000], [0.000, 0.500, 0.500], [0.348, 0.348, 0.000], [0.500, 0.000, 0.500], [0.652, 0.652, 0.000], [0.250, 0.750, 0.500], [0.750, 0.250, 0.500]], "energy_ev_per_atom": -4.10, "space_group": "I4/mmm"}



# 4
{"formula": "Th4Te2IrRu", "functional": "PBE-GGA", "state": "optimized geometry", "cell": [[7.256, 0.000, 0.000], [0.000, 4.189, 0.000], [-2.424, 0.000, 7.700]], "species": ["Th", "Th", "Th", "Th", "Te", "Te", "Ir", "Ru"], "fractional_positions": [[0.231, 0.000, 0.200], [0.263, 0.500, 0.800], [0.737, 0.500, 0.200], [0.769, 0.000, 0.800], [0.000, 0.000, 0.500], [0.500, 0.500, 0.500], [0.500, 0.000, 0.000], [0.000, 0.500, 0.000]], "e_form_raw_mev_per_atom": -1020, "space_group": "P2/m"}



Number 1: ρ 5.66 Mg/m³. Number 2: ρ 5.94 Mg/m³. Number 3: ρ 11.26 Mg/m³. Number 4: ρ 10.48 Mg/m³.